1.
Below is crystalline Tm4AsCS2 at its relaxed geometry, with properties calculated at the PBE level.

Lattice parameters (Å, degrees): 5.436 5.436 6.697 113.95 113.95 90.00
Sites, in units of the cell vectors:
S: 0.250 0.750 0.500
S: 0.000 0.000 0.000
Tm: 0.531 0.031 0.062
Tm: 0.751 0.751 0.502
Tm: 0.249 0.249 0.498
Tm: 0.969 0.469 0.938
As: 0.500 0.500 0.000
C: 0.750 0.250 0.500

## Properties
DOS at the Fermi energy, states/eV per cell: 2.2
Spin magnetization, μB per cell: 0.00
DFT total energy, eV for the cell shown: -51.7
Formation energy (no corrections), eV per atom: -1.46

=====

2.
Below is crystalline U4AsCS2 at its relaxed geometry, with properties calculated at the PBE level.

Lattice parameters (Å, degrees): 3.820 6.577 13.901 90.00 90.00 106.88
Sites, in units of the cell vectors:
U: 0.000 0.000 0.000
U: 0.287 0.573 0.122
U: 0.713 0.427 0.622
U: 0.421 0.843 0.750
U: 0.000 0.000 0.500
U: 0.287 0.573 0.378
U: 0.579 0.157 0.250
U: 0.713 0.427 0.878
S: 0.358 0.716 0.936
S: 0.642 0.284 0.064
S: 0.358 0.716 0.564
S: 0.642 0.284 0.436
C: 0.823 0.646 0.750
C: 0.177 0.354 0.250
As: 0.094 0.188 0.750
As: 0.906 0.812 0.250

## Properties
DOS at the Fermi energy, states/eV per cell: 37.1
Spin magnetization, μB per cell: 18.97
DFT total energy, eV for the cell shown: -146.2
Formation energy (no corrections), eV per atom: -0.73